Record 1
LuMgTe2AuSe after structural relaxation. Source: the Open Quantum Materials Database, functional PBE.

Lattice parameters (Å, degrees): 4.027 14.216 10.506 90.00 90.00 90.00
Space group Cmcm (No. 63)
Inequivalent atoms, fractional coordinates:
Lu1 0.000 0.000 0.000 [4 per cell]
Mg1 0.000 0.253 0.250 [4 per cell]
Te1 0.000 0.346 0.563 [8 per cell]
Au1 0.000 0.479 0.750 [4 per cell]
Se1 0.000 0.105 0.750 [4 per cell]

Computed properties:
* E_tot: -3.963 eV/atom



Record 2
LuMgTeAuSe2 after structural relaxation. Source: the Open Quantum Materials Database, functional PBE.

Lattice parameters (Å, degrees): 3.856 13.752 10.776 90.00 90.00 90.00
Space group Cmcm (No. 63)
Inequivalent atoms, fractional coordinates:
Lu1 0.000 0.000 0.000 [4 per cell]
Mg1 0.000 0.193 0.250 [4 per cell]
Te1 0.000 0.125 0.750 [4 per cell]
Au1 0.000 0.478 0.750 [4 per cell]
Se1 0.000 0.357 0.562 [8 per cell]

Computed properties:
* E_tot: -4.183 eV/atom



Record 3
LuMoAu after structural relaxation. Source: the Open Quantum Materials Database, functional PBE.

Lattice parameters (Å, degrees): 6.541 6.541 6.541 90.00 90.00 90.00
Space group F-43m (No. 216)
Inequivalent atoms, fractional coordinates:
Lu1 0.000 0.000 0.000 [4 per cell]
Mo1 0.000 0.000 0.500 [4 per cell]
Au1 0.250 0.250 0.250 [4 per cell]

Computed properties:
* excess energy over the best structure of this formula in the dataset: 0 meV per atom
* formation energy from the elements: 0.4166 eV per atom



Record 4
LuMoAu after structural relaxation. Source: the Open Quantum Materials Database, functional PBE.

Lattice parameters (Å, degrees): 6.525 6.525 6.525 90.00 90.00 90.00
Space group F-43m (No. 216)
Inequivalent atoms, fractional coordinates:
Lu1 0.000 0.000 0.000 [4 per cell]
Mo1 0.250 0.250 0.250 [4 per cell]
Au1 0.250 0.250 0.750 [4 per cell]

Computed properties:
* excess energy over the best structure of this formula in the dataset: 353 meV per atom
* formation energy from the elements: 0.7697 eV per atom



Record 5
Lu2Mo4Au3N3 after structural relaxation. Source: the Open Quantum Materials Database, functional PBE.

Lattice parameters (Å, degrees): 9.706 5.651 13.544 90.00 103.59 90.00
Space group C2/c (No. 15)
Inequivalent atoms, fractional coordinates:
Lu1 0.043 0.081 0.386 [8 per cell]
Mo1 0.109 0.429 0.570 [8 per cell]
Mo2 0.220 0.415 0.930 [8 per cell]
Au1 0.000 0.489 0.750 [4 per cell]
Au2 0.216 0.135 0.748 [8 per cell]
N1 0.076 0.229 0.000 [8 per cell]
N2 0.250 0.250 0.500 [4 per cell]

Computed properties:
* E_tot: -7.855 eV/atom



Record 6
Lu4Mo2Au3N3 after structural relaxation. Source: the Open Quantum Materials Database, functional PBE.

Lattice parameters (Å, degrees): 9.916 5.796 14.126 90.00 103.60 90.00
Space group C2/c (No. 15)
Inequivalent atoms, fractional coordinates:
Lu1 0.117 0.079 0.101 [8 per cell]
Lu2 0.215 0.088 0.399 [8 per cell]
Mo1 0.062 0.417 0.936 [8 per cell]
Au1 0.000 0.136 0.750 [4 per cell]
Au2 0.140 0.443 0.249 [8 per cell]
N1 0.084 0.246 0.500 [8 per cell]
N2 0.250 0.250 0.000 [4 per cell]

Computed properties:
* E_tot: -7.107 eV/atom



Record 7
Lu3AuN2 after structural relaxation. Source: the Open Quantum Materials Database, functional PBE.

Lattice parameters (Å, degrees): 3.3784 3.3784 19.8414 90.00 90.00 120.00
Space group P6_3/mmc (No. 194)
Inequivalent atoms, fractional coordinates:
Lu1 0.0000 0.0000 0.0000 [2 per cell]
Lu2 0.3333 0.6667 0.1355 [4 per cell]
Au1 0.0000 0.0000 0.2500 [2 per cell]
N1 0.3333 0.6667 0.5702 [4 per cell]

Computed properties:
* E_tot: -7.001 eV/atom



Record 8
Lu2AuN after structural relaxation. Source: the Open Quantum Materials Database, functional PBE.

Lattice parameters (Å, degrees): 10.248 5.916 14.697 90.00 103.47 90.00
Space group C2/c (No. 15)
Inequivalent atoms, fractional coordinates:
Lu1 0.051 0.083 0.404 [8 per cell]
Lu2 0.114 0.416 0.593 [8 per cell]
Lu3 0.219 0.417 0.907 [8 per cell]
Au1 0.000 0.425 0.250 [4 per cell]
Au2 0.170 0.089 0.750 [8 per cell]
N1 0.083 0.249 0.000 [8 per cell]
N2 0.250 0.250 0.500 [4 per cell]

Computed properties:
* E_tot: -6.345 eV/atom



| no. | V (Å³/atom) | calculated density (g cm⁻³) |
| --- | --- | --- |
| 1 | 25.06 | 8.1 |
| 2 | 23.81 | 7.9 |
| 3 | 23.32 | 11.1 |
| 4 | 23.15 | 11.2 |
| 5 | 15.04 | 12.6 |
| 6 | 16.44 | 12.8 |
| 7 | 16.34 | 12.7 |
| 8 | 18.05 | 12.9 |